[1]
NdDy3Hg6, relaxed, DFT GGA-PBE; energy of formation from the pure elements = -433.9 meV per atom; magnetic moment = 0.00 μB/cell; density of states at the Fermi level = 0.70 states/eV/atom
1.0
5.1962 0.0000 0.0000
0.0000 8.7872 -2.7915
0.0000 0.0991 11.2303
Dy Hg Nd
6 12 2
Direct
0.2500 0.3527 0.8042 Dy
0.7500 0.6473 0.1958 Dy
0.7500 0.2295 0.0043 Dy
0.2500 0.5117 0.3867 Dy
0.7500 0.4883 0.6133 Dy
0.2500 0.7705 0.9957 Dy
0.7500 0.9367 0.0928 Hg
0.7500 0.1730 0.6911 Hg
0.2500 0.8270 0.3089 Hg
0.7500 0.7466 0.4804 Hg
0.2500 0.2534 0.5196 Hg
0.7500 0.8592 0.7945 Hg
0.7500 0.3573 0.2914 Hg
0.2500 0.4637 0.0929 Hg
0.2500 0.1408 0.2055 Hg
0.2500 0.6427 0.7086 Hg
0.7500 0.5363 0.9071 Hg
0.2500 0.0633 0.9072 Hg
0.7500 0.0664 0.3851 Nd
0.2500 0.9336 0.6149 Nd


[2]
Nd6DyHg2, relaxed, DFT GGA-PBE; energy of formation from the pure elements = -211.8 meV per atom; magnetic moment = 0.00 μB/cell; density of states at the Fermi level = 1.04 states/eV/atom
1.0
-3.6052 0.0707 -1.1880
-0.9654 -5.7224 -3.4770
-4.7870 -7.5839 8.0095
Nd Dy Hg
6 1 2
Direct
0.6860 0.5041 0.1239 Nd
0.9775 0.7086 0.3364 Nd
0.6905 0.2100 0.4091 Nd
0.3140 0.4959 0.8761 Nd
0.3095 0.7900 0.5909 Nd
0.0225 0.2914 0.6636 Nd
0.0000 0.0000 0.0000 Dy
0.6372 0.9185 0.8072 Hg
0.3628 0.0815 0.1928 Hg


[3]
NdDy3Hg2, relaxed, DFT GGA-PBE; energy of formation from the pure elements = -254.8 meV per atom; magnetic moment = 0.00 μB/cell; density of states at the Fermi level = 0.89 states/eV/atom; distance to the lowest polymorph of the same formula = 92 meV/atom
1.0
5.3617 0.0000 0.0000
-2.6808 9.0867 -0.7329
0.0000 -4.7646 7.5263
Hg Dy Nd
4 6 2
Direct
0.7749 0.5498 0.1570 Hg
0.5108 0.0216 0.8525 Hg
0.2251 0.4502 0.8430 Hg
0.4892 0.9784 0.1475 Hg
0.3814 0.7628 0.2913 Dy
0.6934 0.3868 0.3863 Dy
0.3066 0.6132 0.6137 Dy
0.9364 0.8728 0.5967 Dy
0.0636 0.1272 0.4033 Dy
0.6186 0.2372 0.7087 Dy
0.8673 0.7345 0.9231 Nd
0.1327 0.2655 0.0769 Nd


[4]
Nd9Dy4Hg11, relaxed, DFT GGA-PBE; energy of formation from the pure elements = -383.2 meV per atom; magnetic moment = 3.12 μB/cell; density of states at the Fermi level = 0.98 states/eV/atom
1.0
-2.4050 -2.1644 1.5669
5.5636 -11.0985 -6.7913
6.2374 2.1343 12.5217
Dy Nd Hg
4 9 11
Direct
0.5000 0.7471 0.5555 Dy
0.5000 0.5555 0.7471 Dy
0.5000 0.2529 0.4445 Dy
0.5000 0.4445 0.2529 Dy
0.5000 0.1433 0.6313 Nd
0.5000 0.9566 0.7928 Nd
0.5000 0.5000 0.5000 Nd
0.5000 0.0434 0.2072 Nd
0.5000 0.8567 0.3687 Nd
0.5000 0.3687 0.8567 Nd
0.5000 0.6313 0.1433 Nd
0.5000 0.2072 0.0434 Nd
0.5000 0.7928 0.9566 Nd
0.0000 0.7288 0.7288 Hg
0.0000 0.8350 0.1650 Hg
0.0000 0.9391 0.5843 Hg
0.0000 0.5843 0.9391 Hg
0.0000 0.3628 0.6372 Hg
0.0000 0.6372 0.3628 Hg
0.0000 0.4157 0.0609 Hg
0.0000 0.0000 0.0000 Hg
0.0000 0.1650 0.8350 Hg
0.0000 0.0609 0.4157 Hg
0.0000 0.2712 0.2712 Hg


[5]
NdDyHg3, relaxed, DFT GGA-PBE; energy of formation from the pure elements = -100.9 meV per atom; magnetic moment = 0.00 μB/cell; density of states at the Fermi level = 1.03 states/eV/atom; distance to the lowest polymorph of the same formula = 324 meV/atom
1.0
6.2868 0.0000 0.0000
0.0000 7.1270 0.5226
0.0000 -3.1090 6.4344
Nd Hg Dy
2 6 2
Direct
0.0000 0.0000 0.0000 Nd
0.5000 0.0000 0.0000 Nd
0.2500 0.3823 0.2534 Hg
0.2500 0.7767 0.2233 Hg
0.2500 0.7466 0.6177 Hg
0.7500 0.6177 0.7466 Hg
0.7500 0.2534 0.3823 Hg
0.7500 0.2233 0.7767 Hg
0.2500 0.3198 0.6802 Dy
0.7500 0.6802 0.3198 Dy


[6]
Nd2Dy2Hg, relaxed, DFT GGA-PBE; energy of formation from the pure elements = -96.7 meV per atom; magnetic moment = 0.00 μB/cell; density of states at the Fermi level = 1.19 states/eV/atom; distance to the lowest polymorph of the same formula = 86 meV/atom
1.0
-8.1980 -0.0580 1.8568
-3.6917 -4.4770 2.5877
-3.0802 2.7267 8.0654
Dy Nd Hg
4 4 2
Direct
0.3334 0.6300 0.2779 Dy
0.9635 0.3700 0.2779 Dy
0.6666 0.3700 0.7221 Dy
0.0365 0.6300 0.7221 Dy
0.3933 0.0000 0.8844 Nd
0.2654 0.0000 0.5717 Nd
0.6067 0.0000 0.1156 Nd
0.7346 0.0000 0.4283 Nd
0.1664 0.6671 0.0000 Hg
0.8336 0.3329 0.0000 Hg


[7]
Nd5DyHg6, relaxed, DFT GGA-PBE; energy of formation from the pure elements = -470.8 meV per atom; magnetic moment = 2.55 μB/cell; density of states at the Fermi level = 1.14 states/eV/atom
1.0
-0.3317 0.7026 5.3256
-1.4958 -7.4739 0.8930
7.7535 -1.1480 3.3794
Nd Hg Dy
5 6 1
Direct
0.3333 0.0000 0.3333 Nd
0.3314 0.5000 0.3372 Nd
0.0000 0.5000 0.0000 Nd
0.6686 0.5000 0.6628 Nd
0.6667 0.0000 0.6667 Nd
0.8371 0.2455 0.3257 Hg
0.1629 0.7545 0.6743 Hg
0.1629 0.2455 0.6743 Hg
0.5000 0.7579 0.0000 Hg
0.8371 0.7545 0.3257 Hg
0.5000 0.2421 0.0000 Hg
0.0000 0.0000 0.0000 Dy


[8]
Nd3Dy4Hg, relaxed, DFT GGA-PBE; energy of formation from the pure elements = -109.9 meV per atom; magnetic moment = 0.00 μB/cell; density of states at the Fermi level = 1.23 states/eV/atom
1.0
3.6233 0.0000 0.0000
0.0000 3.6233 0.0000
0.0000 0.0000 19.1757
Dy Hg Nd
4 1 3
Direct
0.0000 0.0000 0.3673 Dy
0.0000 0.0000 0.6327 Dy
0.0000 0.0000 0.1025 Dy
0.0000 0.0000 0.8975 Dy
0.5000 0.5000 0.0000 Hg
0.5000 0.5000 0.5000 Nd
0.5000 0.5000 0.7654 Nd
0.5000 0.5000 0.2346 Nd


[9]
Nd6Dy2Hg, relaxed, DFT GGA-PBE; energy of formation from the pure elements = -97.4 meV per atom; magnetic moment = 0.00 μB/cell; density of states at the Fermi level = 1.28 states/eV/atom; distance to the lowest polymorph of the same formula = 0 meV/atom
1.0
3.7003 0.0000 0.0000
0.0000 8.7770 -4.0416
0.0000 -0.8885 9.6218
Nd Dy Hg
6 2 1
Direct
0.5000 0.6204 0.0000 Nd
0.5000 0.3795 0.3795 Nd
0.0000 0.2738 0.0000 Nd
0.0000 0.0000 0.2736 Nd
0.0000 0.7264 0.7264 Nd
0.5000 0.0000 0.6205 Nd
0.0000 0.6667 0.3335 Dy
0.0000 0.3332 0.6665 Dy
0.5000 0.0001 0.0000 Hg


[10]
Nd4Dy5Hg, relaxed, DFT GGA-PBE; energy of formation from the pure elements = -82.9 meV per atom; magnetic moment = 0.00 μB/cell; density of states at the Fermi level = 1.30 states/eV/atom
1.0
-0.9902 -1.2653 -3.2498
-0.6852 -3.2419 1.4710
-22.8433 6.7872 4.3179
Nd Dy Hg
4 5 1
Direct
0.0000 0.0000 0.8146 Nd
0.0000 0.0000 0.6046 Nd
0.0000 0.0000 0.1854 Nd
0.0000 0.0000 0.3954 Nd
0.5000 0.5000 0.5000 Dy
0.5000 0.5000 0.7099 Dy
0.5000 0.5000 0.2901 Dy
0.5000 0.5000 0.9192 Dy
0.5000 0.5000 0.0808 Dy
0.0000 0.0000 0.0000 Hg


[11]
Nd2Dy8Hg, relaxed, DFT GGA-PBE; energy of formation from the pure elements = -39.3 meV per atom; magnetic moment = 0.00 μB/cell; density of states at the Fermi level = 1.52 states/eV/atom; distance to the lowest polymorph of the same formula = 0 meV/atom
1.0
5.3617 0.0000 -1.5392
-0.1291 6.4184 -0.4496
-0.0071 -0.1753 10.0835
Dy Nd Hg
8 2 1
Direct
0.4227 0.3961 0.8454 Dy
0.8467 0.1953 0.6934 Dy
0.1533 0.8047 0.3066 Dy
0.0422 0.2654 0.0845 Dy
0.9578 0.7346 0.9155 Dy
0.6575 0.1230 0.3150 Dy
0.3425 0.8770 0.6850 Dy
0.5773 0.6039 0.1546 Dy
0.7569 0.6697 0.5137 Nd
0.2431 0.3303 0.4863 Nd
0.5000 0.0000 0.0000 Hg


[12]
Nd4DyHg4, relaxed, DFT GGA-PBE; energy of formation from the pure elements = -262.9 meV per atom; magnetic moment = 0.00 μB/cell; density of states at the Fermi level = 0.77 states/eV/atom
1.0
5.7532 0.0000 0.0000
0.0000 9.6119 0.0000
0.0000 0.0000 9.6119
Nd Hg Dy
8 8 2
Direct
0.6091 0.1584 0.4127 Nd
0.8909 0.6584 0.9127 Nd
0.3909 0.5873 0.1584 Nd
0.1091 0.0873 0.6584 Nd
0.6091 0.8416 0.5873 Nd
0.3909 0.4127 0.8416 Nd
0.1091 0.9127 0.3416 Nd
0.8909 0.3416 0.0873 Nd
0.1129 0.3019 0.3978 Hg
0.3871 0.8019 0.8978 Hg
0.6129 0.1022 0.8019 Hg
0.8871 0.3978 0.6981 Hg
0.1129 0.6981 0.6022 Hg
0.6129 0.8978 0.1981 Hg
0.3871 0.1981 0.1022 Hg
0.8871 0.6022 0.3019 Hg
0.5000 0.5000 0.5000 Dy
0.0000 0.0000 0.0000 Dy